This record from Alexandria describes an optimized crystal structure of ZrGaRh. The functional is PBE.

Properties
- crystal system = monoclinic
- energy of formation from the pure elements (eV per formula unit) = -1.9

```
data_ZrGaRh
_cell_length_a 4.7981
_cell_length_b 5.1093
_cell_length_c 4.9249
_cell_angle_alpha 90.00
_cell_angle_beta 119.15
_cell_angle_gamma 90.00
_space_group_name_H-M_alt 'P 1 21/m 1'
_space_group_IT_number 11
loop_
_space_group_symop_operation_xyz
'x,y,z'
'-x,-y,-z'
'-x,y+1/2,-z'
'x,-y+1/2,z'
loop_
_atom_site_label
_atom_site_fract_x
_atom_site_fract_y
_atom_site_fract_z
Zr1 0.2330 0.2500 0.4650
Ga1 0.4394 0.7500 0.8810
Rh1 0.1010 0.7500 0.2034
```